[1]
Computed, not measured: crystalline YBi at its relaxed geometry at the GGA-PBE level of DFT.

a b c (Å): 7.0833 7.0833 7.0833
angles (deg): 90.00 90.00 90.00
With the nearest neighbours (Å) after each atom.
Positions (direct):
Y (0.2500, 0.2500, 0.2500)  4 Bi 3.07
Y (0.2500, 0.7500, 0.7500)  4 Bi 3.07
Y (0.7500, 0.2500, 0.7500)  4 Bi 3.07
Y (0.7500, 0.7500, 0.2500)  4 Bi 3.07
Bi (0.0000, 0.0000, 0.0000)  4 Y 3.07
Bi (0.0000, 0.5000, 0.5000)  4 Y 3.07
Bi (0.5000, 0.0000, 0.5000)  4 Y 3.07
Bi (0.5000, 0.5000, 0.0000)  4 Y 3.07

## Properties
- size of the total moment (μB per formula unit) = 0.00
- symmetry = F-43m
- energy of formation (eV/atom) = -0.38

***

[2]
Computed, not measured: crystalline La3DyHo2Bi6 at its relaxed geometry at the GGA-PBE level of DFT.

a b c (Å): 7.9600 7.9600 7.9210
angles (deg): 99.64 99.64 119.99
With the nearest neighbours (Å) after each atom.
Positions (direct):
La (0.1665, 0.8335, 0.5000)  6 Bi 3.30
La (0.8335, 0.1665, 0.5000)  6 Bi 3.30
La (0.5000, 0.5000, 0.5000)  6 Bi 3.30-3.31
Dy (0.0000, 0.0000, 0.0000)  6 Bi 3.19
Ho (0.3333, 0.6667, 0.0000)  6 Bi 3.18
Ho (0.6667, 0.3333, 0.0000)  6 Bi 3.18
Bi (0.9212, 0.5873, 0.7635)  2 Ho 3.18, 1 Dy 3.19, 3 La 3.30-3.31
Bi (0.7448, 0.7448, 0.2363)  2 Ho 3.18, 1 Dy 3.19, 3 La 3.30
Bi (0.0788, 0.4127, 0.2365)  2 Ho 3.18, 1 Dy 3.19, 3 La 3.30-3.31
Bi (0.5873, 0.9212, 0.7635)  2 Ho 3.18, 1 Dy 3.19, 3 La 3.30-3.31
Bi (0.2552, 0.2552, 0.7637)  2 Ho 3.18, 1 Dy 3.19, 3 La 3.30
Bi (0.4127, 0.0788, 0.2365)  2 Ho 3.18, 1 Dy 3.19, 3 La 3.30-3.31

## Properties
- Fermi-level density of states (states/eV per atom) = 0.190
- size of the total moment (μB per formula unit) = 0.00
- symmetry = C2/m
- energy of formation (eV/atom) = -0.95

***

[3]
Computed, not measured: crystalline YMg4S5 at its relaxed geometry at the GGA-PBE level of DFT.

a b c (Å): 3.7645 3.7645 13.6366
angles (deg): 97.93 97.93 90.00
With the nearest neighbours (Å) after each atom.
Positions (direct):
Y (0.0000, 0.0000, 0.0000)  6 S 2.66-2.79
Mg (0.3953, 0.3953, 0.7906)  6 S 2.59-2.80
Mg (0.7983, 0.7983, 0.5966)  6 S 2.59-2.66
Mg (0.2017, 0.2017, 0.4034)  6 S 2.59-2.66
Mg (0.6047, 0.6047, 0.2094)  6 S 2.59-2.80
S (0.1043, 0.1043, 0.2087)  5 Mg 2.60-2.66, 1 Y 2.79
S (0.5000, 0.5000, 0.0000)  4 Y 2.66, 2 Mg 2.80
S (0.8957, 0.8957, 0.7913)  5 Mg 2.60-2.66, 1 Y 2.79
S (0.2986, 0.2986, 0.5971)  6 Mg 2.59-2.66
S (0.7014, 0.7014, 0.4029)  6 Mg 2.59-2.66

## Properties
- raw formation energy (kJ per mole of atoms) = -143.3
- Fermi-level density of states (states/eV per atom) = 0.184
- size of the total moment (μB per formula unit) = 0.00
- symmetry = I4/mmm

***

[4]
Computed, not measured: crystalline Cd5GaHg7 at its relaxed geometry at the GGA-PBE level of DFT.

a b c (Å): 4.2699 7.2889 21.5630
angles (deg): 90.56 90.00 107.03
With the nearest neighbours (Å) after each atom.
Positions (direct):
Cd (0.0518, 0.1036, 0.0041)  6 Hg 2.99-3.14
Cd (0.8320, 0.6640, 0.8911)  7 Hg 2.98-3.24, 2 Cd 3.23
Cd (0.2712, 0.5423, 0.1152)  6 Hg 2.99-3.23, 2 Cd 3.23, 2 Ga 3.25
Cd (0.3725, 0.7451, 0.3553)  5 Hg 2.93-3.11, 3 Cd 3.06-3.19
Cd (0.5092, 0.0183, 0.6869)  8 Hg 3.06-3.21, 2 Ga 3.22
Cd (0.8980, 0.7959, 0.4642)  6 Hg 3.10-3.29, 5 Cd 3.19-3.42
Cd (0.2253, 0.4505, 0.4594)  5 Cd 3.06-3.22, 5 Hg 3.15-3.24
Cd (0.7121, 0.4242, 0.5663)  6 Hg 2.99-3.17, 2 Cd 3.15
Cd (0.5052, 0.0105, 0.8865)  6 Hg 2.95-3.28, 2 Cd 3.23
Cd (0.5981, 0.1962, 0.1246)  6 Hg 2.99-3.18, 2 Cd 3.23
Ga (0.8034, 0.6069, 0.2272)  6 Hg 2.88-3.10
Ga (0.1819, 0.3638, 0.6882)  5 Hg 2.93-3.05, 2 Cd 3.22
Hg (0.4644, 0.9288, 0.2336)  2 Cd 2.93-3.02, 2 Ga 3.10, 2 Hg 3.28
Hg (0.6775, 0.3550, 0.7841)  2 Ga 2.97, 3 Hg 3.09-3.18, 3 Cd 3.13-3.28
Hg (0.7135, 0.4270, 0.0086)  6 Cd 2.99-3.23, 2 Hg 3.23
Hg (0.3866, 0.7733, 0.9992)  6 Cd 2.95-3.24, 2 Hg 3.23
Hg (0.3801, 0.7603, 0.5711)  6 Cd 3.06-3.22, 4 Hg 3.23
Hg (0.5592, 0.1183, 0.4590)  6 Cd 3.10-3.41, 5 Hg 3.24-3.37
Hg (0.1493, 0.2986, 0.2294)  1 Hg 2.98, 3 Cd 3.01-3.18, 2 Ga 3.03
Hg (0.9716, 0.9433, 0.7872)  1 Hg 2.96, 5 Cd 2.98-3.09
Hg (0.8371, 0.6742, 0.6801)  4 Hg 2.96-3.23, 3 Cd 2.99-3.21, 2 Ga 3.05
Hg (0.0343, 0.0686, 0.3453)  5 Hg 2.98-3.27, 3 Cd 3.11-3.21
Hg (0.9346, 0.8693, 0.1196)  1 Ga 2.97, 5 Cd 2.99-3.12, 2 Hg 3.28
Hg (0.1729, 0.3458, 0.8875)  5 Cd 3.04-3.17, 2 Hg 3.09
Hg (0.0538, 0.1077, 0.5797)  1 Ga 2.93, 4 Cd 3.09-3.21, 2 Hg 3.23
Hg (0.7117, 0.4234, 0.3465)  1 Ga 2.88, 2 Cd 3.10

## Properties
- Fermi-level density of states (states/eV per atom) = 0.166
- size of the total moment (μB per formula unit) = 0.00
- symmetry = Cm
- energy of formation (eV/atom) = 0.03

***

[5]
Computed, not measured: crystalline RbCdSe3 at its relaxed geometry at the GGA-PBE level of DFT.

a b c (Å): 5.3901 5.3901 5.3901
angles (deg): 90.00 90.00 90.00
With the nearest neighbours (Å) after each atom.
Positions (direct):
Se (0.0000, 0.5000, 0.0000)  2 Cd 2.70
Se (0.0000, 0.0000, 0.5000)  2 Cd 2.70
Se (0.5000, 0.0000, 0.0000)  2 Cd 2.70
Rb (0.5000, 0.5000, 0.5000)  12 Se 3.81
Cd (0.0000, 0.0000, 0.0000)  6 Se 2.70

## Properties
- raw formation energy (kJ per mole of atoms) = -15.2
- Fermi-level density of states (states/eV per atom) = 1.801
- size of the total moment (μB per formula unit) = 0.00
- symmetry = Pm-3m

***

[6]
Computed, not measured: crystalline FeRuW2 at its relaxed geometry at the GGA-PBE level of DFT.

a b c (Å): 5.2369 5.0177 2.7117
angles (deg): 81.13 77.15 117.50
With the nearest neighbours (Å) after each atom.
Positions (direct):
Fe (0.0000, 0.5000, 0.5000)  4 W 2.66, 2 Ru 2.67, 2 Fe 2.71
Ru (0.5000, 0.5000, 0.0000)  4 W 2.66, 2 Fe 2.67, 2 Ru 2.71
W (0.0000, 0.0000, 0.0000)  2 Ru 2.66, 2 Fe 2.66, 4 W 2.67-2.71
W (0.5000, 0.0000, 0.5000)  2 Fe 2.66, 2 Ru 2.66, 4 W 2.67-2.71

## Properties
- Fermi-level density of states (states/eV per atom) = 0.947
- size of the total moment (μB per formula unit) = 2.74
- symmetry = C2/m
- energy of formation (eV/atom) = 0.18

***

[7]
Computed, not measured: crystalline LaPm2I at its relaxed geometry at the GGA-PBE level of DFT.

a b c (Å): 3.8411 3.8411 11.0974
angles (deg): 80.01 80.01 60.01
With the nearest neighbours (Å) after each atom.
Positions (direct):
La (0.5000, 0.5000, 0.5003)  6 Pm 3.68-3.69, 6 La 3.84
Pm (0.0764, 0.0764, 0.7709)  3 I 3.33, 3 La 3.68-3.69
Pm (0.2569, 0.2569, 0.2289)  3 I 3.33, 3 La 3.69
I (0.6668, 0.6668, 0.9999)  6 Pm 3.33

## Properties
- raw formation energy (kJ per mole of atoms) = -35.6
- Fermi-level density of states (states/eV per atom) = 1.474
- size of the total moment (μB per formula unit) = 0.04
- symmetry = R3m

***

[8]
Computed, not measured: crystalline BeMoIr2 at its relaxed geometry at the GGA-PBE level of DFT.

a b c (Å): 3.9759 2.7569 5.1861
angles (deg): 74.56 90.00 90.00
With the nearest neighbours (Å) after each atom.
Positions (direct):
Be (0.5000, 0.9383, 0.7458)  3 Ir 2.28-2.38
Mo (0.0000, 0.5563, 0.5132)  7 Ir 2.67-2.71, 4 Be 2.68-2.69, 2 Mo 2.76
Ir (0.0000, 0.8274, 0.9710)  2 Be 2.28
Ir (0.5000, 0.1780, 0.2700)  1 Be 2.38

## Properties
- Fermi-level density of states (states/eV per atom) = 0.890
- size of the total moment (μB per formula unit) = 0.00
- symmetry = Pm
- energy of formation (eV/atom) = -0.19

***

[9]
Computed, not measured: crystalline Tb2Pr2Ho15 at its relaxed geometry at the GGA-PBE level of DFT.

a b c (Å): 8.7088 8.7088 8.7088
angles (deg): 80.18 80.18 80.18
With the nearest neighbours (Å) after each atom.
Positions (direct):
Tb (0.9030, 0.9030, 0.9030)  1 Tb 3.39, 12 Ho 3.46-3.75
Tb (0.0970, 0.0970, 0.0970)  1 Tb 3.39, 12 Ho 3.46-3.75
Pr (0.6710, 0.6710, 0.6710)  15 Ho 3.95-4.30, 1 Tb 4.05
Pr (0.3290, 0.3290, 0.3290)  15 Ho 3.95-4.30, 1 Tb 4.05
Ho (0.0000, 0.5000, 0.0000)  8 Ho 3.33-3.38, 2 Tb 3.46
Ho (0.0000, 0.0000, 0.5000)  8 Ho 3.33-3.38, 2 Tb 3.46
Ho (0.5000, 0.0000, 0.0000)  8 Ho 3.33-3.38, 2 Tb 3.46
Ho (0.2984, 0.0000, 0.7016)  6 Ho 3.31-3.38
Ho (0.7016, 0.2984, 0.0000)  6 Ho 3.31-3.38
Ho (0.0000, 0.7016, 0.2984)  6 Ho 3.31-3.38
Ho (0.2984, 0.7016, 0.0000)  6 Ho 3.31-3.38
Ho (0.0000, 0.2984, 0.7016)  6 Ho 3.31-3.38
Ho (0.7016, 0.0000, 0.2984)  6 Ho 3.31-3.38
Ho (0.3670, 0.8513, 0.3670)  6 Ho 3.29-3.33
Ho (0.3670, 0.3670, 0.8513)  6 Ho 3.29-3.33
Ho (0.8513, 0.3670, 0.3670)  6 Ho 3.29-3.33
Ho (0.6330, 0.1487, 0.6330)  6 Ho 3.29-3.33
Ho (0.6330, 0.6330, 0.1487)  6 Ho 3.29-3.33
Ho (0.1487, 0.6330, 0.6330)  6 Ho 3.29-3.33

## Properties
- Fermi-level density of states (states/eV per atom) = 2.023
- size of the total moment (μB per formula unit) = 0.01
- symmetry = R-3m
- energy of formation (eV/atom) = 0.28

***

[10]
Computed, not measured: crystalline KLaSCl2 at its relaxed geometry at the GGA-PBE level of DFT.

a b c (Å): 5.1957 5.1957 5.6564
angles (deg): 90.00 90.00 90.00
With the nearest neighbours (Å) after each atom.
Positions (direct):
K (0.0000, 0.0000, 0.0000)  4 Cl 2.60, 2 S 2.83
Cl (0.0000, 0.5000, 0.0000)  2 K 2.60
Cl (0.5000, 0.0000, 0.0000)  2 K 2.60
S (0.0000, 0.0000, 0.5000)  2 K 2.83
La (0.5000, 0.5000, 0.5000)  4 S 3.67, 8 Cl 3.84

## Properties
- raw formation energy (kJ per mole of atoms) = -96.7
- Fermi-level density of states (states/eV per atom) = 1.637
- size of the total moment (μB per formula unit) = 0.14
- symmetry = P4/mmm

***

[11]
Computed, not measured: crystalline PmGd2Te at its relaxed geometry at the GGA-PBE level of DFT.

a b c (Å): 3.8845 3.8845 10.3440
angles (deg): 79.18 79.18 60.00
With the nearest neighbours (Å) after each atom.
Positions (direct):
Gd (0.2621, 0.2621, 0.2136)  3 Te 3.11
Gd (0.7379, 0.7379, 0.7864)  3 Te 3.11
Te (0.0000, 0.0000, 0.0000)  6 Gd 3.11
Pm (0.5000, 0.5000, 0.5000)  6 Gd 3.66, 6 Pm 3.88

## Properties
- raw formation energy (kJ per mole of atoms) = -54.5
- Fermi-level density of states (states/eV per atom) = 1.246
- size of the total moment (μB per formula unit) = 14.63
- symmetry = R-3m

***

[12]
Computed, not measured: crystalline BPbIO2 at its relaxed geometry at the GGA-PBE level of DFT.

a b c (Å): 4.4137 5.8240 8.1174
angles (deg): 100.67 90.00 90.00
With the nearest neighbours (Å) after each atom.
Positions (direct):
B (0.7500, 0.6432, 0.6292)  2 O 1.27-1.28
B (0.2500, 0.3568, 0.3708)  2 O 1.27-1.28
Pb (0.7500, 0.8076, 0.2683)  3 O 2.67-2.77
Pb (0.2500, 0.1924, 0.7317)  3 O 2.67-2.77
I (0.7500, 0.2639, 0.0624)  4 Pb 3.30-3.44, 2 B 3.31, 4 O 3.52-3.67
I (0.2500, 0.7361, 0.9376)  4 Pb 3.30-3.44, 2 B 3.31, 4 O 3.52-3.67
O (0.2500, 0.5727, 0.3613)  1 B 1.27
O (0.2500, 0.1471, 0.3979)  1 B 1.28
O (0.7500, 0.8529, 0.6021)  1 B 1.28
O (0.7500, 0.4273, 0.6387)  1 B 1.27

## Properties
- raw formation energy (kJ per mole of atoms) = -136.0
- Fermi-level density of states (states/eV per atom) = 0.000
- size of the total moment (μB per formula unit) = 0.00
- symmetry = P2_1/m